(1)
Entry from Alexandria: a geometry-optimized TbTm2Tc structure (PBE).

Values from the calculation:
**Excess energy over the best structure of this formula in the dataset**: 0.438 eV per formula unit
**ΔE_f**: -0.023 eV/atom

Cell: 3.4183 3.4183 8.8211 Å, 90.00 90.00 90.00°
Space group P4/mmm (No. 123)
Symmetry-distinct sites (fractional):
Tb: 0.0000 0.0000 0.0000 (multiplicity 1)
Tm: 0.5000 0.5000 0.3160 (multiplicity 2)
Tc: 0.0000 0.0000 0.5000 (multiplicity 1)

=====

(2)
Entry from Alexandria: a geometry-optimized Zr2ScPaN4 structure (PBE).

Values from the calculation:
**Formation energy (no corrections)**: -1734 meV per atom

Cell: 5.7423 3.3117 5.7462 Å, 90.00 109.11 90.00°
Space group P2/m (No. 10)
Symmetry-distinct sites (fractional):
Zr: 0.0000 0.0000 0.0000 (multiplicity 1)
Zr: 0.5000 0.5000 0.0000 (multiplicity 1)
Sc: 0.0000 0.5000 0.5000 (multiplicity 1)
Pa: 0.5000 0.0000 0.5000 (multiplicity 1)
N: 0.2395 0.5000 0.2454 (multiplicity 2)
N: 0.2468 0.0000 0.7484 (multiplicity 2)

=====

(3)
Entry from Alexandria: a geometry-optimized Mn2HgCl structure (PBE).

Values from the calculation:
**Excess energy over the best structure of this formula in the dataset**: 0.446 eV per formula unit
**Formation energy (no corrections)**: 177 meV per atom

Cell: 3.0868 4.5854 11.6838 Å, 90.00 90.00 90.00°
Space group Imm2 (No. 44)
Symmetry-distinct sites (fractional):
Mn: 0.0000 0.0000 0.0000 (multiplicity 2)
Mn: 0.0000 0.5000 0.3053 (multiplicity 2)
Hg: 0.0000 0.0000 0.4484 (multiplicity 2)
Cl: 0.0000 0.5000 0.6754 (multiplicity 2)

=====

(4)
Entry from Alexandria: a geometry-optimized Ca2CdAg3Sn4 structure (PBE).

Values from the calculation:
**ΔE_f**: -0.283 eV/atom

Cell: 4.4549 4.4549 12.7340 Å, 90.00 90.00 90.00°
Space group P-4m2 (No. 115)
Symmetry-distinct sites (fractional):
Ca: 0.0000 0.5000 0.2477 (multiplicity 2)
Cd: 0.0000 0.0000 0.5000 (multiplicity 1)
Ag: 0.0000 0.5000 0.8548 (multiplicity 2)
Ag: 0.5000 0.5000 0.5000 (multiplicity 1)
Sn: 0.0000 0.0000 0.0000 (multiplicity 1)
Sn: 0.0000 0.5000 0.6436 (multiplicity 2)
Sn: 0.5000 0.5000 0.0000 (multiplicity 1)

=====

(5)
Entry from Alexandria: a geometry-optimized MgBr structure (PBE).

Values from the calculation:
**Formation energy (no corrections)**: -420 meV per atom

Cell: 3.6759 3.6759 3.6759 Å, 90.00 90.00 90.00°
Space group Pm-3m (No. 221)
Symmetry-distinct sites (fractional):
Mg: 0.0000 0.0000 0.0000 (multiplicity 1)
Br: 0.5000 0.5000 0.5000 (multiplicity 1)

=====

(6)
Entry from Alexandria: a geometry-optimized AcGa4Cu2Ru structure (PBE).

Values from the calculation:
**ΔE_f**: -0.296 eV/atom

Cell: 4.2379 4.2379 28.2926 Å, 90.00 90.00 120.00°
Space group R-3m (No. 166, hexagonal axes)
Symmetry-distinct sites (fractional):
Ac: 0.0000 0.0000 0.0000 (multiplicity 3)
Ga: 0.0000 0.0000 0.1339 (multiplicity 6)
Ga: 0.0000 0.0000 0.4077 (multiplicity 6)
Cu: 0.0000 0.0000 0.2293 (multiplicity 6)
Ru: 0.0000 0.0000 0.5000 (multiplicity 3)

=====

(7)
Entry from Alexandria: a geometry-optimized PrMg4Rh structure (PBE).

Values from the calculation:
**ΔE_f**: -0.314 eV/atom

Cell: 8.6712 4.2722 7.4657 Å, 90.00 90.00 90.00°
Space group Pmma (No. 51)
Symmetry-distinct sites (fractional):
Pr: 0.2500 0.0000 0.0955 (multiplicity 2)
Mg: 0.0000 0.0000 0.5000 (multiplicity 2)
Mg: 0.0633 0.5000 0.8006 (multiplicity 4)
Mg: 0.2500 0.5000 0.4613 (multiplicity 2)
Rh: 0.2500 0.0000 0.7122 (multiplicity 2)

=====

(8)
Entry from Alexandria: a geometry-optimized Ta2CuSnC structure (PBE).

Values from the calculation:
**ΔE_f**: 0.475 eV/atom

Cell: 4.2342 4.2342 4.6121 Å, 90.00 90.00 90.00°
Space group P4/mmm (No. 123)
Symmetry-distinct sites (fractional):
Ta: 0.0000 0.5000 0.0000 (multiplicity 2)
Cu: 0.0000 0.0000 0.5000 (multiplicity 1)
Sn: 0.5000 0.5000 0.5000 (multiplicity 1)
C: 0.5000 0.5000 0.0000 (multiplicity 1)

=====

(9)
Entry from Alexandria: a geometry-optimized Ce3Cu4Ge2 structure (PBE).

Values from the calculation:
**ΔE_f**: -0.409 eV/atom

Cell: 10.4945 4.3515 8.3713 Å, 90.00 111.28 90.00°
Space group C2/m (No. 12)
Symmetry-distinct sites (fractional):
Ce: 0.0000 0.0000 0.0000 (multiplicity 2)
Ce: 0.1577 0.5000 0.6749 (multiplicity 4)
Cu: 0.0737 0.0000 0.4086 (multiplicity 4)
Cu: 0.2193 0.5000 0.0520 (multiplicity 4)
Ge: 0.1242 0.5000 0.2886 (multiplicity 4)

=====

(10)
Entry from Alexandria: a geometry-optimized Pr6ZnTc2 structure (PBE).

Values from the calculation:
**ΔE_f**: 0.001 eV/atom

Cell: 9.9483 10.0222 10.5255 Å, 90.00 90.00 90.00°
Space group Immm (No. 71)
Symmetry-distinct sites (fractional):
Pr: 0.0000 0.2083 0.2251 (multiplicity 8)
Pr: 0.2117 0.5000 0.1845 (multiplicity 8)
Pr: 0.2168 0.3119 0.5000 (multiplicity 8)
Zn: 0.0000 0.0000 0.0000 (multiplicity 2)
Zn: 0.0000 0.0000 0.5000 (multiplicity 2)
Tc: 0.0000 0.3800 0.0000 (multiplicity 4)
Tc: 0.0000 0.5000 0.3885 (multiplicity 4)

=====

(11)
Entry from Alexandria: a geometry-optimized NaBr3F structure (PBE).

Values from the calculation:
**Excess energy over the best structure of this formula in the dataset**: 1.608 eV per formula unit
**Formation energy (no corrections)**: -35 meV per atom

Cell: 5.5944 5.5944 5.5944 Å, 90.00 90.00 90.00°
Space group Pm-3m (No. 221)
Symmetry-distinct sites (fractional):
Na: 0.0000 0.0000 0.0000 (multiplicity 1)
Br: 0.0000 0.0000 0.5000 (multiplicity 3)
F: 0.5000 0.5000 0.5000 (multiplicity 1)

=====

(12)
Entry from Alexandria: a geometry-optimized NaLa3Pu2Te6 structure (PBE).

Values from the calculation:
**Formation energy (no corrections)**: -1355 meV per atom

Cell: 19.7642 4.5304 9.0695 Å, 90.00 102.90 90.00°
Space group C2/m (No. 12)
Symmetry-distinct sites (fractional):
Na: 0.0000 0.0000 0.0000 (multiplicity 2)
La: 0.0000 0.0000 0.5000 (multiplicity 2)
La: 0.1655 0.5000 0.8329 (multiplicity 4)
Pu: 0.1675 0.5000 0.3353 (multiplicity 4)
Te: 0.0026 0.5000 0.2478 (multiplicity 4)
Te: 0.1659 0.0000 0.0897 (multiplicity 4)
Te: 0.1685 0.0000 0.5780 (multiplicity 4)

=====

For the records above, the corresponding M_tot values read 0.000, 0.000, 2.030, 0.000, 0.000, 0.000, 0.000, 0.000, 0.236, 0.000, 0.332, 1.012 μB/atom.